# NaTbAu3Se4 | OQMD | PBE | optimized geometry
data_NaTbAu3Se4
_symmetry_space_group_name_H-M 'P 1 21/m 1'
_symmetry_Int_Tables_number 11
_cell_length_a 5.846
_cell_length_b 8.036
_cell_length_c 10.233
_cell_angle_alpha 90.00
_cell_angle_beta 99.49
_cell_angle_gamma 90.00
loop_
_symmetry_equiv_pos_as_xyz
'x,y,z'
'-x,-y,-z'
'-x,y+1/2,-z'
'x,-y+1/2,z'
loop_
_atom_site_label
_atom_site_fract_x
_atom_site_fract_y
_atom_site_fract_z
Na1 0.195 0.250 0.115
Tb1 0.364 0.250 0.699
Au1 0.098 0.750 0.173
Au2 0.216 0.570 0.454
Se1 0.090 0.518 0.742
Se2 0.412 0.750 0.038
Se3 0.444 0.250 0.425
# Calculated density = 7.63 g/cm³
# Total magnetization = 0.01 Bohr magnetons per cell
# Uncorrected energy = -3.90 eV per atom